Record 1
First-principles (PBE-GGA) data for an optimized crystal structure of ReNiSe2, as listed in Alexandria via LeMat-Bulk.

Unit cell a=9.620 b=9.620 c=9.620 alpha=18.45 beta=18.45 gamma=18.45
Sites, in units of the cell vectors:
Se 0.217 0.217 0.217
Ni 0.497 0.497 0.497
Re 0.756 0.756 0.756
Se 0.030 0.030 0.030

Output
The calculation puts the uncorrected formation energy at 0.10 eV/atom. Its space group is R3m. The calculation puts the density of states at the Fermi level at 2.55 states/eV/f.u. The total moment comes out at 0.000 μB/atom.

***

Record 2
First-principles (PBE-GGA) data for an optimized crystal structure of Re2SiNiSe, as listed in Alexandria via LeMat-Bulk.

Unit cell a=4.544 b=4.092 c=4.544 alpha=90.00 beta=90.00 gamma=90.00
Sites, in units of the cell vectors:
Si 0.000 0.000 0.000
Re 0.000 0.000 0.500
Ni 0.000 0.500 0.000
Re 0.500 0.000 0.000
Se 0.500 0.500 0.500

Output
The calculation puts the uncorrected formation energy at 1.21 eV/atom. Its space group is P4/mmm. The calculation puts the density of states at the Fermi level at 6.91 states/eV/f.u. The total moment comes out at 0.000 μB/atom.

***

Record 3
First-principles (PBE-GGA) data for an optimized crystal structure of SrReNi2Se, as listed in Alexandria via LeMat-Bulk.

Unit cell a=4.705 b=4.761 c=4.705 alpha=90.00 beta=90.00 gamma=90.00
Sites, in units of the cell vectors:
Re 0.000 0.000 0.000
Se 0.000 0.500 0.000
Sr 0.500 0.500 0.500
Ni 0.500 0.000 0.000
Ni 0.000 0.000 0.500

Output
The calculation puts the uncorrected formation energy at 0.19 eV/atom. Its space group is P4/mmm. The calculation puts the density of states at the Fermi level at 3.38 states/eV/f.u. The total moment comes out at 0.000 μB/atom.

***

Record 4
First-principles (PBE-GGA) data for an optimized crystal structure of Tl3ReNi3Se8, as listed in Alexandria via LeMat-Bulk.

Unit cell a=7.368 b=7.364 c=8.526 alpha=115.62 beta=90.00 gamma=120.02
Sites, in units of the cell vectors:
Se 0.772 0.544 0.321
Ni 0.500 0.000 0.500
Tl 0.000 0.000 0.000
Tl 0.500 0.500 0.000
Se 0.772 0.049 0.322
Re 0.000 0.000 0.500
Se 0.277 0.049 0.322
Ni 0.000 0.500 0.500
Se 0.228 0.951 0.678
Tl 0.000 0.500 0.000
Se 0.723 0.951 0.678
Se 0.280 0.560 0.341
Ni 0.500 0.500 0.500
Se 0.720 0.440 0.659
Se 0.228 0.456 0.679

Output
The calculation puts the uncorrected formation energy at -0.22 eV/atom. Its space group is C2/m. The calculation puts the density of states at the Fermi level at 11.12 states/eV/f.u. The total moment comes out at 0.069 μB/atom.

***

What did the fourth record say?
First-principles (PBE-GGA) data for an optimized crystal structure of Tl3ReNi3Se8, as listed in Alexandria via LeMat-Bulk.

Unit cell a=7.368 b=7.364 c=8.526 alpha=115.62 beta=90.00 gamma=120.02
Sites, in units of the cell vectors:
Se 0.772 0.544 0.321
Ni 0.500 0.000 0.500
Tl 0.000 0.000 0.000
Tl 0.500 0.500 0.000
Se 0.772 0.049 0.322
Re 0.000 0.000 0.500
Se 0.277 0.049 0.322
Ni 0.000 0.500 0.500
Se 0.228 0.951 0.678
Tl 0.000 0.500 0.000
Se 0.723 0.951 0.678
Se 0.280 0.560 0.341
Ni 0.500 0.500 0.500
Se 0.720 0.440 0.659
Se 0.228 0.456 0.679

Output
The calculation puts the uncorrected formation energy at -0.22 eV/atom. Its space group is C2/m. The calculation puts the density of states at the Fermi level at 11.12 states/eV/f.u. The total moment comes out at 0.069 μB/atom.

***

The lowest density of states at the Fermi level belongs to which entry? ReNiSe2

***

Repeat the third record exactly.
First-principles (PBE-GGA) data for an optimized crystal structure of SrReNi2Se, as listed in Alexandria via LeMat-Bulk.

Unit cell a=4.705 b=4.761 c=4.705 alpha=90.00 beta=90.00 gamma=90.00
Sites, in units of the cell vectors:
Re 0.000 0.000 0.000
Se 0.000 0.500 0.000
Sr 0.500 0.500 0.500
Ni 0.500 0.000 0.000
Ni 0.000 0.000 0.500

Output
The calculation puts the uncorrected formation energy at 0.19 eV/atom. Its space group is P4/mmm. The calculation puts the density of states at the Fermi level at 3.38 states/eV/f.u. The total moment comes out at 0.000 μB/atom.

***

Which value of density of states at the Fermi level does entry 3 give? 3.38 states/eV/f.u.